Compound: BaNd2NiO5
Source: Alexandria
Functional: GGA+U
Structure: optimized geometry

Computed properties:
N(E_F) (states/eV per atom): 0.000
Polymorph energy (0 for the lowest one) (eV/atom): 0.000

abc: 3.8633 5.9856 11.8070
angles: 90.00 90.00 90.00
With the nearest neighbours (Å) after each atom.
Space group Immm (No. 71)
Asymmetric unit:
1 Ba 0.0000 0.0000 0.0000 [2 per cell]  10 O 2.99-3.01
2 Nd 0.0000 0.5000 0.2027 [4 per cell]  7 O 2.37-2.51
3 Ni 0.0000 0.0000 0.5000 [2 per cell]  2 O 1.93
4 O 0.0000 0.2414 0.3549 [8 per cell]  1 Ni 2.24, 3 Nd 2.37-2.51
5 O 0.0000 0.5000 0.0000 [2 per cell]  2 Ni 1.93